LaAgW (PBE, relaxed); energy above the most stable polymorph in this dataset = 987 meV per atom; ΔE_f = 1.56 eV/atom
1.0
6.952 0.000 0.000
0.000 6.952 0.000
0.000 0.000 6.952
La Ag W
4 4 4
direct
0.000 0.000 0.000
0.000 0.500 0.500
0.500 0.000 0.500
0.500 0.500 0.000
0.250 0.250 0.750
0.250 0.750 0.250
0.750 0.250 0.250
0.750 0.750 0.750
0.250 0.250 0.250
0.250 0.750 0.750
0.750 0.250 0.750
0.750 0.750 0.250

LaAgW2 (PBE, relaxed); energy above the most stable polymorph in this dataset = 371 meV per atom; ΔE_f = 0.76 eV/atom
1.0
11.235 0.000 0.000
0.000 2.847 0.000
-1.421 0.000 5.010
La Ag W
2 2 4
direct
0.000 0.000 0.000
0.500 0.500 0.000
0.000 0.500 0.500
0.500 0.000 0.500
0.229 0.000 0.728
0.271 0.500 0.272
0.729 0.500 0.728
0.771 0.000 0.272